Compound: RbY2AgTe4
Source: Alexandria
Functional: PBE
Structure: optimized geometry

Structure (POSCAR):
```
RbY2AgTe4
1.0
4.489 0.000 0.000
-2.244 7.636 0.000
0.000 0.000 15.883
Te Rb Ag Y
8 2 2 4
direct
0.555 0.109 0.250
0.000 0.000 0.000
0.445 0.891 0.750
0.264 0.528 0.103
0.736 0.472 0.603
0.000 0.000 0.500
0.264 0.528 0.397
0.736 0.472 0.897
0.124 0.248 0.750
0.876 0.752 0.250
0.838 0.677 0.750
0.162 0.323 0.250
0.630 0.261 0.432
0.630 0.261 0.068
0.370 0.739 0.932
0.370 0.739 0.568
```

Results
Space group: Cmcm, No. 63
Electronic total energy, eV/cell: -76.99
Total magnetic moment, μB/atom: 0.00
ΔE_f (raw), eV per atom: -1.147